Computed, not measured: an optimized crystal structure of Pr3CoGe3 at the PBE level of DFT.

As for the energy of formation: -703.7 meV/atom. For the spin magnetization, the calculation gives 0.0 μB/cell. As for the space-group type: C2/m.

abc: 4.3559 6.0150 13.5210
angles: 84.86 80.73 68.77
Closest atoms and distances in Å follow each position.
Fractional positions:
Pr 0.5251 0.3334 0.6164  6 Ge 3.02-3.33, 3 Co 3.07-3.17
Pr 0.4749 0.6666 0.3836  6 Ge 3.02-3.33, 3 Co 3.07-3.17
Pr 0.2532 0.2641 0.2296  5 Ge 2.97-3.13
Pr 0.7468 0.7359 0.7704  5 Ge 2.97-3.13
Pr 0.4031 0.2758 0.9181  7 Ge 3.08-3.29
Pr 0.5969 0.7242 0.0819  7 Ge 3.08-3.29
Co 0.7576 0.0655 0.4192  4 Ge 2.39-2.59
Co 0.2424 0.9345 0.5808  4 Ge 2.39-2.59
Ge 0.8472 0.7578 0.5478  3 Co 2.39-2.44
Ge 0.1528 0.2422 0.4522  3 Co 2.39-2.44
Ge 0.1206 0.8346 0.9242  2 Ge 2.79-2.80, 4 Pr 3.06-3.08
Ge 0.8794 0.1654 0.0758  2 Ge 2.79-2.80, 4 Pr 3.06-3.08
Ge 0.9440 0.8642 0.2477  1 Co 2.59, 1 Ge 2.80
Ge 0.0560 0.1358 0.7523  1 Co 2.59, 1 Ge 2.80

=====

Computed, not measured: an optimized crystal structure of Ca2Zn2InNi5 at the PBE level of DFT.

As for the energy of formation: -151.8 meV/atom. For the spin magnetization, the calculation gives 0.0 μB/cell. As for the space-group type: P4/mbm.

abc: 3.6314 9.3799 9.3799
angles: 90.00 90.00 90.00
Closest atoms and distances in Å follow each position.
Fractional positions:
Ca 0.0000 0.6788 0.1788  3 Zn 2.70-2.84, 2 Ni 2.99
Ca 0.0000 0.3212 0.8212  3 Zn 2.70-2.84, 2 Ni 2.99
Ca 0.0000 0.1788 0.3212  3 Zn 2.70-2.84, 2 Ni 2.99
Ca 0.0000 0.8212 0.6788  3 Zn 2.70-2.84, 2 Ni 2.99
Zn 0.0000 0.1179 0.6179  6 Ni 2.40-2.47
Zn 0.0000 0.8821 0.3821  6 Ni 2.40-2.47
Zn 0.0000 0.6179 0.8821  6 Ni 2.40-2.47
Zn 0.0000 0.3821 0.1179  6 Ni 2.40-2.47
In 0.0000 0.0000 0.0000  8 Ni 2.76
In 0.0000 0.5000 0.5000  8 Ni 2.76
Ni 0.5000 0.2122 0.0628  2 Zn 2.47, 2 In 2.76, 1 Ni 2.76
Ni 0.5000 0.7878 0.9372  2 Zn 2.47, 2 In 2.76, 1 Ni 2.76
Ni 0.5000 0.0628 0.7878  2 Zn 2.47, 2 In 2.76, 1 Ni 2.76
Ni 0.5000 0.7122 0.4372  2 Zn 2.47, 2 In 2.76, 1 Ni 2.76
Ni 0.5000 0.9372 0.2122  2 Zn 2.47, 2 In 2.76, 1 Ni 2.76
Ni 0.5000 0.2878 0.5628  2 Zn 2.47, 2 In 2.76, 1 Ni 2.76
Ni 0.5000 0.5628 0.7122  2 Zn 2.47, 2 In 2.76, 1 Ni 2.76
Ni 0.5000 0.4372 0.2878  2 Zn 2.47, 2 In 2.76, 1 Ni 2.76
Ni 0.5000 0.5000 0.0000  4 Zn 2.40
Ni 0.5000 0.0000 0.5000  4 Zn 2.40